(1)
Compound: Pm2PaBi
Source: Alexandria
Functional: PBE
Structure: optimized geometry

a = 3.5958 Å, b = 3.5958 Å, c = 32.4266 Å
α = 90.00°, β = 90.00°, γ = 120.00°
Space group R-3m (No. 166, hexagonal axes)
One atom of each set of equivalent atoms:
Pm 0.0000 0.0000 0.2495 (multiplicity 6)
Pa 0.0000 0.0000 0.0000 (multiplicity 3)
Bi 0.0000 0.0000 0.5000 (multiplicity 3)

Properties
energy relative to the lowest polymorph listed for this composition: 0.098 eV/atom
energy of formation: -0.06 eV/atom

(2)
Compound: OsPb
Source: Alexandria
Functional: PBE
Structure: optimized geometry

a = 3.0562 Å, b = 3.0562 Å, c = 10.8411 Å
α = 90.00°, β = 90.00°, γ = 120.00°
Space group P-3m1 (No. 164)
One atom of each set of equivalent atoms:
Os 0.3333 0.6667 0.0890 (multiplicity 2)
Pb 0.3333 0.6667 0.6841 (multiplicity 2)

Properties
energy of formation: 0.72 eV/atom

(3)
Compound: LaRuCl
Source: Alexandria
Functional: PBE
Structure: optimized geometry

a = 4.1280 Å, b = 6.3337 Å, c = 11.1928 Å
α = 90.00°, β = 90.00°, γ = 90.00°
Space group Fmm2 (No. 42)
One atom of each set of equivalent atoms:
La 0.0000 0.0000 0.0000 (multiplicity 4)
Ru 0.0000 0.0000 0.3921 (multiplicity 4)
Cl 0.0000 0.0000 0.7118 (multiplicity 4)

Properties
uncorrected formation energy: -358.3 meV per atom
energy relative to the lowest polymorph listed for this composition: 0.800 eV/atom

(4)
Compound: KLiHgSb
Source: Alexandria
Functional: PBE
Structure: optimized geometry

a = 7.5924 Å, b = 7.5924 Å, c = 7.5924 Å
α = 90.00°, β = 90.00°, γ = 90.00°
Space group F-43m (No. 216)
One atom of each set of equivalent atoms:
K 0.0000 0.0000 0.0000 (multiplicity 4)
Li 0.2500 0.2500 0.7500 (multiplicity 4)
Hg 0.2500 0.2500 0.2500 (multiplicity 4)
Sb 0.0000 0.0000 0.5000 (multiplicity 4)

Properties
uncorrected formation energy: -234.8 meV per atom

(5)
Compound: Ac2NiSe
Source: Alexandria
Functional: PBE
Structure: optimized geometry

a = 4.2738 Å, b = 4.2738 Å, c = 23.2330 Å
α = 90.00°, β = 90.00°, γ = 120.00°
Space group R-3m (No. 166, hexagonal axes)
One atom of each set of equivalent atoms:
Ac 0.0000 0.0000 0.2412 (multiplicity 6)
Ni 0.0000 0.0000 0.5000 (multiplicity 3)
Se 0.0000 0.0000 0.0000 (multiplicity 3)

Properties
uncorrected formation energy: -1004.9 meV per atom
energy relative to the lowest polymorph listed for this composition: 0.000 eV/atom

(6)
Compound: PmGaHg2
Source: Alexandria
Functional: PBE
Structure: optimized geometry

a = 4.6473 Å, b = 4.6473 Å, c = 8.8898 Å
α = 90.00°, β = 90.00°, γ = 90.00°
Space group I4/mmm (No. 139)
One atom of each set of equivalent atoms:
Pm 0.0000 0.0000 0.0000 (multiplicity 2)
Ga 0.0000 0.0000 0.5000 (multiplicity 2)
Hg 0.0000 0.5000 0.2500 (multiplicity 4)

Properties
energy of formation: -0.37 eV/atom

(7)
Compound: YGa3Cu3
Source: Alexandria
Functional: PBE
Structure: optimized geometry

a = 6.5744 Å, b = 6.5744 Å, c = 6.5744 Å
α = 90.00°, β = 90.00°, γ = 90.00°
Space group Pm-3n (No. 223)
One atom of each set of equivalent atoms:
Y 0.0000 0.0000 0.0000 (multiplicity 2)
Ga 0.0000 0.2500 0.5000 (multiplicity 6)
Cu 0.0000 0.5000 0.2500 (multiplicity 6)

Properties
energy of formation: 0.13 eV/atom

(8)
Compound: LaAsCBr2
Source: Alexandria
Functional: PBE
Structure: optimized geometry

a = 5.8144 Å, b = 5.8144 Å, c = 6.1745 Å
α = 90.00°, β = 90.00°, γ = 90.00°
Space group P4/mmm (No. 123)
One atom of each set of equivalent atoms:
La 0.0000 0.0000 0.0000 (multiplicity 1)
As 0.0000 0.0000 0.5000 (multiplicity 1)
C 0.5000 0.5000 0.5000 (multiplicity 1)
Br 0.0000 0.5000 0.0000 (multiplicity 2)

Properties
uncorrected formation energy: 720.9 meV per atom
energy relative to the lowest polymorph listed for this composition: 0.544 eV/atom

(9)
Compound: RbSe2S2
Source: Alexandria
Functional: PBE
Structure: optimized geometry

a = 14.9707 Å, b = 5.3475 Å, c = 10.4687 Å
α = 90.00°, β = 128.61°, γ = 90.00°
Space group C2/c (No. 15)
One atom of each set of equivalent atoms:
Rb 0.0000 0.1763 0.2500 (multiplicity 4)
Se 0.2423 0.3758 0.0994 (multiplicity 8)
S 0.1272 0.3211 0.6782 (multiplicity 8)

Properties
uncorrected formation energy: -309.4 meV per atom
energy relative to the lowest polymorph listed for this composition: 0.000 eV/atom

(10)
Compound: Ac9La2Ho
Source: Alexandria
Functional: PBE
Structure: optimized geometry

a = 5.5302 Å, b = 5.5302 Å, c = 16.6269 Å
α = 90.00°, β = 90.00°, γ = 90.00°
Space group P4/mmm (No. 123)
One atom of each set of equivalent atoms:
Ac 0.0000 0.0000 0.0000 (multiplicity 1)
Ac 0.0000 0.0000 0.3317 (multiplicity 2)
Ac 0.0000 0.5000 0.1638 (multiplicity 4)
Ac 0.0000 0.5000 0.5000 (multiplicity 2)
La 0.5000 0.5000 0.3318 (multiplicity 2)
Ho 0.5000 0.5000 0.0000 (multiplicity 1)

Properties
energy of formation: 0.02 eV/atom

(11)
Compound: BaSi2Ru
Source: Alexandria
Functional: PBE
Structure: optimized geometry

a = 3.1837 Å, b = 4.1450 Å, c = 6.6279 Å
α = 90.00°, β = 99.52°, γ = 90.00°
Space group P2/m (No. 10)
One atom of each set of equivalent atoms:
Ba 0.0000 0.0000 0.0000 (multiplicity 1)
Si 0.3419 0.5000 0.6595 (multiplicity 2)
Ru 0.5000 0.0000 0.5000 (multiplicity 1)

Properties
uncorrected formation energy: -33.4 meV per atom

(12)
Compound: Nb2Co2Ni
Source: Alexandria
Functional: PBE
Structure: optimized geometry

a = 3.9123 Å, b = 4.9106 Å, c = 7.2169 Å
α = 90.00°, β = 90.00°, γ = 90.00°
Space group Immm (No. 71)
One atom of each set of equivalent atoms:
Nb 0.0000 0.0000 0.2057 (multiplicity 4)
Co 0.0000 0.2711 0.5000 (multiplicity 4)
Ni 0.0000 0.5000 0.0000 (multiplicity 2)

Properties
energy relative to the lowest polymorph listed for this composition: 0.000 eV/atom
energy of formation: -0.13 eV/atom

(13)
Compound: Mg2TlCl
Source: Alexandria
Functional: PBE
Structure: optimized geometry

a = 3.5683 Å, b = 5.7727 Å, c = 10.6317 Å
α = 90.00°, β = 90.00°, γ = 90.00°
Space group Cmm2 (No. 35)
One atom of each set of equivalent atoms:
Mg 0.0000 0.0000 0.0000 (multiplicity 2)
Mg 0.0000 0.5000 0.2385 (multiplicity 2)
Tl 0.0000 0.0000 0.4908 (multiplicity 2)
Cl 0.0000 0.5000 0.8483 (multiplicity 2)

Properties
uncorrected formation energy: -464.6 meV per atom
energy relative to the lowest polymorph listed for this composition: 0.046 eV/atom

(14)
Compound: NdEr2MgRh4
Source: Alexandria
Functional: PBE
Structure: optimized geometry

a = 4.7521 Å, b = 4.7521 Å, c = 23.5350 Å
α = 90.00°, β = 90.00°, γ = 120.00°
Space group R-3m (No. 166, hexagonal axes)
One atom of each set of equivalent atoms:
Nd 0.0000 0.0000 0.0000 (multiplicity 3)
Er 0.0000 0.0000 0.2430 (multiplicity 6)
Mg 0.0000 0.0000 0.5000 (multiplicity 3)
Rh 0.0000 0.0000 0.1260 (multiplicity 6)
Rh 0.0000 0.0000 0.3791 (multiplicity 6)

Properties
energy of formation: -0.76 eV/atom

(15)
Compound: UVRe2
Source: Alexandria
Functional: PBE
Structure: optimized geometry

a = 2.8477 Å, b = 2.8477 Å, c = 27.8108 Å
α = 90.00°, β = 90.00°, γ = 120.00°
Space group R-3m (No. 166, hexagonal axes)
One atom of each set of equivalent atoms:
U 0.0000 0.0000 0.0000 (multiplicity 3)
V 0.0000 0.0000 0.5000 (multiplicity 3)
Re 0.0000 0.0000 0.2391 (multiplicity 6)

Properties
energy relative to the lowest polymorph listed for this composition: 0.201 eV/atom
energy of formation: 0.19 eV/atom

(16)
Compound: CaTiAs3
Source: Alexandria
Functional: PBE
Structure: optimized geometry

a = 4.9251 Å, b = 4.9251 Å, c = 4.9251 Å
α = 90.00°, β = 90.00°, γ = 90.00°
Space group Pm-3m (No. 221)
One atom of each set of equivalent atoms:
Ca 0.0000 0.0000 0.0000 (multiplicity 1)
Ti 0.5000 0.5000 0.5000 (multiplicity 1)
As 0.0000 0.5000 0.5000 (multiplicity 3)

Properties
energy relative to the lowest polymorph listed for this composition: 0.000 eV/atom
energy of formation: -0.48 eV/atom

(17)
Compound: Ba8CdIn2
Source: Alexandria
Functional: PBE
Structure: optimized geometry

a = 6.0223 Å, b = 10.3359 Å, c = 16.4607 Å
α = 90.00°, β = 90.00°, γ = 90.00°
Space group Immm (No. 71)
One atom of each set of equivalent atoms:
Ba 0.0000 0.0000 0.1348 (multiplicity 4)
Ba 0.0000 0.2141 0.3438 (multiplicity 8)
Ba 0.0000 0.3333 0.0000 (multiplicity 4)
Cd 0.0000 0.5000 0.5000 (multiplicity 2)
In 0.0000 0.5000 0.2014 (multiplicity 4)

Properties
energy of formation: -0.17 eV/atom

(18)
Compound: Sm3TlH
Source: Alexandria
Functional: PBE
Structure: optimized geometry

a = 4.9568 Å, b = 4.9568 Å, c = 4.9568 Å
α = 90.00°, β = 90.00°, γ = 90.00°
Space group Pm-3m (No. 221)
One atom of each set of equivalent atoms:
Sm 0.0000 0.0000 0.5000 (multiplicity 3)
Tl 0.5000 0.5000 0.5000 (multiplicity 1)
H 0.0000 0.0000 0.0000 (multiplicity 1)

Properties
energy relative to the lowest polymorph listed for this composition: 0.000 eV/atom

(19)
Compound: Er2Zn5Ru5
Source: Alexandria
Functional: PBE
Structure: optimized geometry

a = 4.2001 Å, b = 5.1758 Å, c = 9.2515 Å
α = 90.00°, β = 90.00°, γ = 90.00°
Space group Pmmm (No. 47)
One atom of each set of equivalent atoms:
Er 0.0000 0.0000 0.0000 (multiplicity 1)
Er 0.0000 0.5000 0.5000 (multiplicity 1)
Zn 0.0000 0.0000 0.3309 (multiplicity 2)
Zn 0.0000 0.5000 0.1658 (multiplicity 2)
Zn 0.5000 0.0000 0.5000 (multiplicity 1)
Ru 0.5000 0.2457 0.2506 (multiplicity 4)
Ru 0.5000 0.5000 0.0000 (multiplicity 1)

Properties
energy of formation: -0.15 eV/atom

(20)
Compound: KBH5
Source: Alexandria
Functional: PBE
Structure: optimized geometry

a = 8.2916 Å, b = 8.7327 Å, c = 5.5861 Å
α = 90.00°, β = 131.91°, γ = 90.00°
Space group C2/c (No. 15)
One atom of each set of equivalent atoms:
K 0.0000 0.1596 0.2500 (multiplicity 4)
B 0.0000 0.5000 0.0000 (multiplicity 4)
H 0.0004 0.3642 0.6258 (multiplicity 8)
H 0.0000 0.4409 0.2500 (multiplicity 4)
H 0.2098 0.4993 0.2080 (multiplicity 8)

| no. | E_tot (eV per atom) | V (Å³/atom) |
| --- | --- | --- |
| 1 | -5.777 | 30.3 |
| 2 | -6.746 | 21.9 |
| 3 | -5.708 | 24.4 |
| 4 | -2.094 | 27.4 |
| 5 | -5.376 | 30.6 |
| 6 | -2.461 | 24.0 |
| 7 | -3.842 | 20.3 |
| 8 | -3.708 | 41.7 |
| 9 | -3.548 | 32.7 |
| 10 | -4.260 | 42.4 |
| 11 | -5.545 | 21.6 |
| 12 | -8.154 | 13.9 |
| 13 | -2.315 | 27.4 |
| 14 | -6.374 | 19.2 |
| 15 | -11.133 | 16.3 |
| 16 | -5.252 | 23.9 |
| 17 | -2.153 | 46.6 |
| 18 | -4.278 | 24.4 |
| 19 | -5.310 | 16.8 |
| 20 | -3.282 | 10.7 |